(1)
{"formula": "AgB2HS", "functional": "PBEsol", "state": "optimized geometry", "cell": [[4.041, 0.000, 0.000], [0.000, 4.041, 0.000], [0.000, 0.000, 3.019]], "species": ["Ag", "B", "B", "H", "S"], "fractional_positions": [[0.000, 0.000, 0.000], [0.000, 0.500, 0.500], [0.500, 0.000, 0.500], [0.500, 0.500, 0.000], [0.500, 0.500, 0.500]], "sg": "No. 123", "total_energy_ev_per_atom": -3.941}

---

(2)
{"formula": "Rb2NiH8C2O10", "functional": "PBEsol", "state": "optimized geometry", "cell": [[7.485, 0.000, 0.000], [0.000, 6.410, 0.000], [-4.298, 0.000, 10.967]], "species": ["Rb", "Rb", "Rb", "Rb", "Ni", "Ni", "H", "H", "H", "H", "H", "H", "H", "H", "H", "H", "H", "H", "H", "H", "H", "H", "C", "C", "C", "C", "O", "O", "O", "O", "O", "O", "O", "O", "O", "O", "O", "O", "O", "O", "O", "O", "O", "O", "O", "O"], "fractional_positions": [[0.229, 0.182, 0.181], [0.229, 0.318, 0.681], [0.771, 0.682, 0.319], [0.771, 0.818, 0.819], [0.500, 0.000, 0.500], [0.500, 0.500, 0.000], [0.006, 0.687, 0.128], [0.006, 0.813, 0.628], [0.145, 0.123, 0.902], [0.145, 0.377, 0.402], [0.326, 0.716, 0.517], [0.326, 0.784, 0.017], [0.358, 0.656, 0.143], [0.358, 0.844, 0.643], [0.642, 0.156, 0.357], [0.642, 0.344, 0.857], [0.674, 0.216, 0.983], [0.674, 0.284, 0.483], [0.855, 0.623, 0.598], [0.855, 0.877, 0.098], [0.994, 0.187, 0.372], [0.994, 0.313, 0.872], [0.284, 0.695, 0.327], [0.284, 0.805, 0.827], [0.716, 0.195, 0.173], [0.716, 0.305, 0.673], [0.128, 0.229, 0.422], [0.128, 0.271, 0.922], [0.201, 0.633, 0.400], [0.201, 0.867, 0.900], [0.236, 0.615, 0.220], [0.236, 0.885, 0.720], [0.416, 0.661, 0.858], [0.416, 0.839, 0.358], [0.430, 0.705, 0.088], [0.430, 0.795, 0.588], [0.570, 0.205, 0.412], [0.570, 0.295, 0.912], [0.584, 0.161, 0.642], [0.584, 0.339, 0.142], [0.764, 0.115, 0.280], [0.764, 0.385, 0.780], [0.799, 0.133, 0.100], [0.799, 0.367, 0.600], [0.872, 0.729, 0.078], [0.872, 0.771, 0.578]], "sg": "No. 14", "total_energy_ev_per_atom": -5.890}

---

(3)
{"formula": "CsNa2Au2", "functional": "PBEsol", "state": "optimized geometry", "cell": [[8.823, 0.000, 0.000], [0.000, 8.823, 0.000], [0.000, 0.000, 3.399]], "species": ["Cs", "Cs", "Na", "Na", "Na", "Na", "Au", "Au", "Au", "Au"], "fractional_positions": [[0.000, 0.000, 0.000], [0.500, 0.500, 0.000], [0.122, 0.378, 0.000], [0.378, 0.878, 0.000], [0.622, 0.122, 0.000], [0.878, 0.622, 0.000], [0.171, 0.671, 0.500], [0.329, 0.171, 0.500], [0.671, 0.829, 0.500], [0.829, 0.329, 0.500]], "sg": "No. 127", "total_energy_ev_per_atom": -2.457, "delta_e_f_ev_per_atom": -0.14}